PuTh2U3As6 GGA-PBE optimized geometry; symmetry = No. 12; uncorrected energy = -8.1662 eV per atom; DFT formation energy = -0.59 eV per atom; magnetic moment = 1.7 μB per formula unit
1.0
5.5770 0.0000 0.0000
0.0000 7.7629 2.5081
-2.7885 -0.2214 7.4736
Pu As Th U
1 6 2 3
Direct
0.5000 0.0000 0.0000 Pu
0.7019 0.8866 0.4038 As
0.9990 0.7459 0.9979 As
0.6956 0.4193 0.3913 As
0.2981 0.1134 0.5962 As
0.0010 0.2541 0.0021 As
0.3044 0.5807 0.6087 As
0.1596 0.9179 0.3191 Th
0.8404 0.0821 0.6809 Th
0.8473 0.5734 0.6946 U
0.1527 0.4266 0.3054 U
0.5000 0.5000 0.0000 U


TlTeRuN2 GGA-PBE optimized geometry; symmetry = No. 123; uncorrected energy = -5.4026 eV per atom; E_form (uncorrected) = 884.3 meV/atom; excess energy over the best structure of this formula in the dataset = 0.000 eV/atom; magnetic moment = 0.5 μB per formula unit
1.0
-2.8513 -2.5524 1.1902
2.4968 -1.5075 2.7486
-1.8475 3.8245 3.7757
Ru Te N Tl
1 1 2 1
Direct
0.0000 0.0000 0.0000 Ru
0.0000 0.0000 0.5000 Te
0.0000 0.5000 0.0000 N
0.5000 0.0000 0.0000 N
0.5000 0.5000 0.5000 Tl